A relaxed HoErPuIn crystal. Source: Alexandria, functional PBE.

* E_form: -0.029 eV/atom

Lattice parameters (Å, degrees): 7.6312 7.6312 7.6312 90.00 90.00 90.00
Space group F-43m (No. 216)
Unique sites:
Ho  0.0000  0.0000  0.0000 [4 per cell]
Er  0.2500  0.2500  0.7500 [4 per cell]
Pu  0.0000  0.0000  0.5000 [4 per cell]
In  0.2500  0.2500  0.2500 [4 per cell]

---

A relaxed SbTeIr2 crystal. Source: Alexandria, functional PBE.

* energy relative to the lowest polymorph listed for this composition: 589 meV/atom
* energy relative to the elements, uncorrected: 0.662 eV per atom

Lattice parameters (Å, degrees): 3.0855 4.6881 5.3306 90.00 90.00 90.00
Space group Pmmm (No. 47)
Unique sites:
Sb  0.0000  0.0000  0.0000 [1 per cell]
Te  0.5000  0.0000  0.5000 [1 per cell]
Ir  0.0000  0.5000  0.5000 [1 per cell]
Ir  0.5000  0.5000  0.0000 [1 per cell]

---

A relaxed AlZn2Pb crystal. Source: Alexandria, functional PBE.

* E_form: 0.151 eV/atom
* energy relative to the lowest polymorph listed for this composition: 10 meV/atom

Lattice parameters (Å, degrees): 8.5842 3.4109 5.8078 90.00 102.47 90.00
Space group Cm (No. 8)
Unique sites:
Al  0.0000  0.0000  0.0000 [2 per cell]
Zn  0.0251  0.5000  0.6365 [2 per cell]
Zn  0.2601  0.0000  0.8094 [2 per cell]
Pb  0.2631  0.5000  0.3209 [2 per cell]

---

A relaxed Zn3Ga2Au4 crystal. Source: Alexandria, functional PBE.

* E_form: -0.127 eV/atom

Lattice parameters (Å, degrees): 3.2100 6.1418 8.1864 80.81 87.80 84.60
Space group P-1 (No. 2)
Unique sites:
Zn  0.0000  0.0000  0.0000 [1 per cell]
Zn  0.4459  0.3023  0.4555 [2 per cell]
Ga  0.2000  0.3860  0.7791 [2 per cell]
Au  0.0028  0.0321  0.6688 [2 per cell]
Au  0.3982  0.3078  0.1162 [2 per cell]

---

A relaxed SrTcMo2H crystal. Source: Alexandria, functional PBE.

* DFT total energy: -18.8 eV/cell

Lattice parameters (Å, degrees): 5.3149 5.3149 5.0851 90.00 90.00 90.00
Space group P4/mmm (No. 123)
Unique sites:
Sr  0.0000  0.0000  0.0000 [1 per cell]
Tc  0.0000  0.0000  0.5000 [1 per cell]
Mo  0.0000  0.5000  0.0000 [2 per cell]
H  0.5000  0.5000  0.5000 [1 per cell]

---

A relaxed AlZnFe2 crystal. Source: Alexandria, functional PBE.

* E_form: -0.060 eV/atom

Lattice parameters (Å, degrees): 2.6693 2.6693 25.0562 90.00 90.00 120.00
Space group R3m (No. 160, hexagonal axes)
Unique sites:
Al  0.0000  0.0000  0.0000 [3 per cell]
Zn  0.0000  0.0000  0.8334 [3 per cell]
Fe  0.0000  0.0000  0.2515 [3 per cell]
Fe  0.0000  0.0000  0.4153 [3 per cell]

---

A relaxed BaHf2Cu crystal. Source: Alexandria, functional PBE.

* E_form: 0.839 eV/atom
* energy relative to the lowest polymorph listed for this composition: 0 meV/atom

Lattice parameters (Å, degrees): 7.0551 7.0551 7.0551 90.00 90.00 90.00
Space group Fm-3m (No. 225)
Unique sites:
Ba  0.0000  0.0000  0.0000 [4 per cell]
Hf  0.2500  0.2500  0.2500 [8 per cell]
Cu  0.0000  0.0000  0.5000 [4 per cell]

---

A relaxed InIrRu2 crystal. Source: Alexandria, functional PBE.

* E_form: 1.156 eV/atom

Lattice parameters (Å, degrees): 6.2009 6.2009 9.6737 90.00 90.00 90.00
Space group I-42d (No. 122)
Unique sites:
In  0.0000  0.0000  0.0000 [4 per cell]
Ir  0.0000  0.0000  0.5000 [4 per cell]
Ru  0.2104  0.2500  0.6250 [8 per cell]

---

For reference, N(E_F) by record: 2.08 1.05 0.31 0.29 1.36 0.63 1.33 2.41 states/eV/atom.